! Tb2AlZn12Cu3 (PBE-GGA, relaxed); values from VASP
! ρ: 7.2 g cm⁻³
! M_tot: 0.00 μB/cell
&SYSTEM
  ibrav = 0, nat = 18, ntyp = 4
/
ATOMIC_SPECIES
Zn 65.41 Zn.upf
Cu 63.55 Cu.upf
Al 26.98 Al.upf
Tb 158.93 Tb.upf
CELL_PARAMETERS angstrom
6.478 -1.568 -1.112
1.836 6.407 -1.112
1.836 1.068 6.414
ATOMIC_POSITIONS angstrom
Zn 5.021 2.922 -0.277
Zn 5.372 0.363 0.258
Zn 5.128 5.203 1.340
Zn 3.092 4.018 2.850
Zn 5.128 2.985 4.467
Zn 7.180 1.416 3.932
Zn 2.969 1.728 4.154
Zn 4.777 5.544 3.932
Zn 7.056 1.890 1.340
Zn 7.180 4.179 0.036
Zn 2.969 4.491 0.258
Zn 5.021 0.705 2.850
Cu 0.918 0.534 3.207
Cu 3.239 -0.784 -0.556
Cu 0.918 3.203 -0.556
Al 0.000 0.000 0.000
Tb 2.559 1.490 1.057
Tb 7.589 4.418 3.133



! TbAl2Zn4Cu (PBE-GGA, relaxed); values from VASP
! ρ: 6.6 g cm⁻³
! M_tot: 0.00 μB/cell
&SYSTEM
  ibrav = 0, nat = 8, ntyp = 4
/
ATOMIC_SPECIES
Cu 63.55 Cu.upf
Tb 158.93 Tb.upf
Zn 65.41 Zn.upf
Al 26.98 Al.upf
CELL_PARAMETERS angstrom
4.298 0.000 0.000
2.149 3.722 0.000
2.149 1.241 8.451
ATOMIC_POSITIONS angstrom
Cu 4.298 2.482 4.225
Tb 0.000 0.000 0.000
Zn 6.447 3.722 3.341
Zn 4.298 2.482 6.786
Zn 4.298 2.482 1.664
Zn 2.149 1.241 5.109
Al 6.447 3.722 6.268
Al 2.149 1.241 2.183



! TbAl4ZnCu2 (PBE-GGA, relaxed); values from VASP
! ρ: 5.6 g cm⁻³
! M_tot: 0.00 μB/cell
&SYSTEM
  ibrav = 0, nat = 8, ntyp = 4
/
ATOMIC_SPECIES
Al 26.98 Al.upf
Cu 63.55 Cu.upf
Zn 65.41 Zn.upf
Tb 158.93 Tb.upf
CELL_PARAMETERS angstrom
-0.913 -3.312 -2.492
3.133 -2.274 -1.739
0.793 -7.129 5.570
ATOMIC_POSITIONS angstrom
Al 1.522 -7.911 2.729
Al 2.240 -7.565 -1.609
Al 1.491 -4.804 -1.390
Al 0.773 -5.150 2.948
Cu 2.258 -9.344 0.748
Cu 0.755 -3.372 0.590
Zn 1.507 -6.358 0.669
Tb 0.000 0.000 0.000



! Tb2Al4ZnCu3 (PBE-GGA, relaxed); values from VASP
! ρ: 6.4 g cm⁻³
! M_tot: 0.00 μB/cell
&SYSTEM
  ibrav = 0, nat = 10, ntyp = 4
/
ATOMIC_SPECIES
Cu 63.55 Cu.upf
Tb 158.93 Tb.upf
Al 26.98 Al.upf
Zn 65.41 Zn.upf
CELL_PARAMETERS angstrom
-1.808 0.992 3.615
-3.357 -2.215 -1.070
4.111 -8.327 4.342
ATOMIC_POSITIONS angstrom
Cu 2.056 -4.163 2.171
Cu -1.142 -2.193 0.031
Cu 2.671 -6.745 5.583
Tb 0.123 -1.583 2.892
Tb 1.406 -7.355 2.722
Al -0.187 -4.128 1.039
Al 0.000 0.000 0.000
Al -2.582 -0.611 1.272
Al 1.716 -4.811 4.575
Zn -0.527 -4.775 3.443



Number 1: DFT total energy -40.51 eV for the cell shown. Number 2: DFT total energy -22.67 eV for the cell shown. Number 3: DFT total energy -30.61 eV for the cell shown. Number 4: DFT total energy -41.91 eV for the cell shown.